[1]
CeEuGeRh, relaxed, DFT PBE; SG = F-43m, No. 216; crystal system = cubic; E_tot = -7.553 eV per atom
1.0
0.0000 3.5795 3.5795
3.5795 0.0000 3.5795
3.5795 3.5795 0.0000
Ce Eu Ge Rh
1 1 1 1
Direct
0.0000 0.0000 0.0000
0.5000 0.5000 0.5000
0.7500 0.7500 0.7500
0.2500 0.2500 0.2500

---

[2]
CeEuSnGe, relaxed, DFT PBE; SG = F-43m, No. 216; crystal system = cubic; E_tot = -6.724 eV per atom
1.0
0.0000 3.7897 3.7897
3.7897 0.0000 3.7897
3.7897 3.7897 0.0000
Ce Eu Sn Ge
1 1 1 1
Direct
0.0000 0.0000 0.0000
0.5000 0.5000 0.5000
0.7500 0.7500 0.7500
0.2500 0.2500 0.2500

---

[3]
CeEuTlGe, relaxed, DFT PBE; SG = F-43m, No. 216; crystal system = cubic; E_tot = -6.189 eV per atom
1.0
0.0000 3.8101 3.8101
3.8101 0.0000 3.8101
3.8101 3.8101 0.0000
Ce Eu Tl Ge
1 1 1 1
Direct
0.0000 0.0000 0.0000
0.5000 0.5000 0.5000
0.7500 0.7500 0.7500
0.2500 0.2500 0.2500

---

[4]
CeEuZnGe, relaxed, DFT PBE; SG = F-43m, No. 216; crystal system = cubic; E_tot = -5.946 eV per atom
1.0
0.0000 3.6804 3.6804
3.6804 0.0000 3.6804
3.6804 3.6804 0.0000
Ce Eu Zn Ge
1 1 1 1
Direct
0.0000 0.0000 0.0000
0.5000 0.5000 0.5000
0.7500 0.7500 0.7500
0.2500 0.2500 0.2500

---

[5]
CeEuH2, relaxed, DFT PBE; energy above the most stable polymorph in this dataset = 0.380 eV per atom; SG = P4/mmm, No. 123; crystal system = tetragonal; E_tot = -5.670 eV per atom
1.0
3.1413 0.0000 0.0000
0.0000 3.1413 0.0000
0.0000 0.0000 6.3692
Ce Eu H
1 1 2
Direct
0.0000 0.0000 0.0000
0.0000 0.0000 0.5000
0.5000 0.5000 0.2425
0.5000 0.5000 0.7575

---

[6]
CeEu3H, relaxed, DFT PBE; SG = Pm-3m, No. 221; crystal system = cubic; E_tot = -8.045 eV per atom
1.0
5.3138 0.0000 0.0000
0.0000 5.3138 0.0000
0.0000 0.0000 5.3138
Ce Eu H
1 3 1
Direct
0.0000 0.0000 0.0000
0.0000 0.5000 0.5000
0.5000 0.0000 0.5000
0.5000 0.5000 0.0000
0.5000 0.5000 0.5000

---

[7]
CeEuH2, relaxed, DFT PBE; energy above the most stable polymorph in this dataset = 0.000 eV per atom; SG = R-3m, No. 166; crystal system = trigonal; E_tot = -6.050 eV per atom
1.0
1.7911 1.0341 6.0316
-1.7911 1.0341 6.0316
0.0000 -2.0682 6.0316
Ce Eu H
1 1 2
Direct
0.0000 0.0000 0.0000
0.5000 0.5000 0.5000
0.2548 0.2548 0.2548
0.7452 0.7452 0.7452

---

[8]
Ce2EuH, relaxed, DFT PBE; SG = P4/mmm, No. 123; crystal system = tetragonal; E_tot = -6.164 eV per atom
1.0
3.3594 0.0000 0.0000
0.0000 3.3594 0.0000
0.0000 0.0000 7.8189
Ce Eu H
2 1 1
Direct
0.0000 0.0000 0.1709
0.0000 0.0000 0.8291
0.5000 0.5000 0.5000
0.5000 0.5000 0.0000

---

What is the E_tot in the fifth record? -5.670 eV per atom

---

Which of these has the highest E_tot? number 5

---

Among the records above, which one has the highest E_tot? number 5

---

Look up the E_tot of the fifth one. -5.670 eV per atom